# 1
VASP calculation (GGA-PBEsol) on CdNi after structural relaxation.

Values from the calculation:
The formation enthalpy at 0 K is 113.6 meV per atom.

Unit cell a=3.828 b=3.828 c=4.802 alpha=113.49 beta=113.49 gamma=90.00
Fractional coordinates of all 4 atoms:
Cd1 0.000 0.000 0.000
Ni1 0.500 0.500 0.000
Cd2 0.250 0.750 0.500
Ni2 0.750 0.250 0.500

=====

# 2
VASP calculation (GGA-PBEsol) on Sm2Al9Co3 after structural relaxation.

Values from the calculation:
The formation enthalpy at 0 K is -552.2 meV per atom.

Unit cell a=7.355 b=7.355 c=9.297 alpha=90.00 beta=90.00 gamma=119.14
Fractional coordinates of all 28 atoms:
Al1 0.668 0.668 0.539
Sm1 0.328 0.007 0.250
Al2 0.998 0.335 0.929
Sm2 0.672 0.993 0.750
Al3 0.332 0.332 0.039
Co1 0.000 0.000 0.000
Co2 0.670 0.330 0.000
Sm3 0.993 0.672 0.750
Al4 0.665 0.002 0.071
Sm4 0.007 0.328 0.250
Co3 0.330 0.670 0.000
Al5 0.339 0.554 0.750
Al6 0.668 0.668 0.961
Al7 0.874 0.874 0.250
Al8 0.002 0.665 0.071
Al9 0.335 0.998 0.571
Al10 0.446 0.661 0.250
Al11 0.126 0.126 0.750
Co4 0.670 0.330 0.500
Al12 0.665 0.002 0.429
Al13 0.332 0.332 0.461
Co5 0.330 0.670 0.500
Al14 0.661 0.446 0.250
Al15 0.335 0.998 0.929
Al16 0.002 0.665 0.429
Al17 0.998 0.335 0.571
Al18 0.554 0.339 0.750
Co6 0.000 0.000 0.500

=====

# 3
VASP calculation (GGA-PBEsol) on CuRu2Cl after structural relaxation.

Values from the calculation:
For the energy above the most stable polymorph in this dataset, the calculation gives 0.435 eV/atom. Its formation energy without anion corrections is 66 kJ per mole of atoms.

Unit cell a=2.757 b=4.331 c=5.193 alpha=114.64 beta=105.40 gamma=90.00
Fractional coordinates of all 4 atoms:
Cl1 0.482 0.482 0.964
Cu1 0.246 0.746 0.492
Ru1 0.756 0.256 0.512
Ru2 0.016 0.016 0.032

=====

# 4
VASP calculation (GGA-PBEsol) on TbGaNi after structural relaxation.

Values from the calculation:
The formation enthalpy at 0 K is -667.7 meV per atom.

Unit cell a=4.230 b=6.733 c=7.267 alpha=90.00 beta=90.00 gamma=90.00
Fractional coordinates of all 12 atoms:
Ga1 0.250 0.667 0.575
Tb1 0.250 0.523 0.191
Ni1 0.750 0.714 0.400
Tb2 0.750 0.477 0.809
Tb3 0.250 0.023 0.309
Tb4 0.750 0.977 0.691
Ga2 0.250 0.167 0.925
Ni2 0.250 0.786 0.900
Ni3 0.250 0.286 0.600
Ni4 0.750 0.214 0.100
Ga3 0.750 0.333 0.425
Ga4 0.750 0.833 0.075

=====

# 5
VASP calculation (GGA-PBEsol) on ScInCu2 after structural relaxation.

Values from the calculation:
The formation enthalpy at 0 K is -161.9 meV per atom.

Unit cell a=3.135 b=3.135 c=6.632 alpha=90.00 beta=90.00 gamma=90.00
Fractional coordinates of all 4 atoms:
In1 0.000 0.000 0.461
Sc1 0.500 0.500 0.788
Cu1 0.500 0.500 0.216
Cu2 0.000 0.000 0.035

=====

# 6
VASP calculation (GGA-PBEsol) on LiTaAs2 after structural relaxation.

Values from the calculation:
For the energy above the most stable polymorph in this dataset, the calculation gives 0.145 eV/atom. The formation enthalpy at 0 K is -301.3 meV per atom.

Unit cell a=3.421 b=4.137 c=4.984 alpha=98.73 beta=110.07 gamma=90.00
Fractional coordinates of all 4 atoms:
Li1 0.508 0.326 0.016
As1 0.013 0.861 0.027
Ta1 0.730 0.904 0.460
As2 0.249 0.410 0.498

=====

# 7
VASP calculation (GGA-PBEsol) on DySi2Ni10 after structural relaxation.

Values from the calculation:
Its formation energy without anion corrections is -46 kJ per mole of atoms.

Unit cell a=4.612 b=8.059 c=8.059 alpha=90.00 beta=90.00 gamma=90.00
Fractional coordinates of all 26 atoms:
Ni1 0.239 0.353 0.500
Ni2 0.761 0.500 0.647
Ni3 0.270 0.277 0.000
Ni4 0.730 0.000 0.723
Ni5 0.270 0.723 0.000
Dy1 0.220 0.000 0.500
Si1 0.500 0.750 0.750
Si2 0.500 0.750 0.250
Ni6 0.000 0.250 0.250
Ni7 0.730 0.777 0.500
Si3 0.500 0.250 0.750
Ni8 0.239 0.647 0.500
Ni9 0.761 0.853 0.000
Ni10 0.761 0.147 0.000
Dy2 0.780 0.500 0.000
Ni11 0.000 0.250 0.750
Ni12 0.000 0.750 0.750
Ni13 0.000 0.750 0.250
Ni14 0.730 0.223 0.500
Ni15 0.270 0.500 0.223
Si4 0.500 0.250 0.250
Ni16 0.270 0.500 0.777
Ni17 0.730 0.000 0.277
Ni18 0.761 0.500 0.353
Ni19 0.239 0.000 0.853
Ni20 0.239 0.000 0.147

=====

# 8
VASP calculation (GGA-PBEsol) on Pd2CI after structural relaxation.

Values from the calculation:
Its formation energy without anion corrections is 57 kJ per mole of atoms.

Unit cell a=5.321 b=5.321 c=6.538 alpha=114.01 beta=114.01 gamma=90.00
Fractional coordinates of all 8 atoms:
Pd1 0.625 0.492 0.750
Pd2 0.742 0.375 0.250
I1 0.000 0.000 0.000
Pd3 0.125 0.258 0.750
I2 0.250 0.750 0.500
C1 0.500 0.500 0.000
Pd4 0.508 0.875 0.250
C2 0.750 0.250 0.500

=====

| no. | spin magnetization (μB per formula unit) | DOS(E_F) (states/eV/atom) |
| --- | --- | --- |
| 1 | 0.00 | 0.6192 |
| 2 | 0.00 | 0.5189 |
| 3 | 0.00 | 1.0161 |
| 4 | 0.00 | 0.5539 |
| 5 | 0.00 | 0.5673 |
| 6 | 0.00 | 0.3916 |
| 7 | 0.00 | 0.8786 |
| 8 | 0.00 | 0.6182 |